1.
{"formula": "Ac2CuNi4Sb3", "functional": "PBE", "state": "relaxed", "cell": [[4.486, 0.000, 0.000], [0.000, 4.486, 0.000], [0.000, 0.000, 10.131]], "species": ["Ac", "Ac", "Cu", "Ni", "Ni", "Ni", "Ni", "Sb", "Sb", "Sb"], "frac_coords": [[0.000, 0.500, 0.249], [0.500, 0.000, 0.751], [0.000, 0.000, 0.500], [0.000, 0.000, 0.000], [0.000, 0.500, 0.617], [0.500, 0.000, 0.383], [0.500, 0.500, 0.000], [0.000, 0.500, 0.872], [0.500, 0.000, 0.128], [0.500, 0.500, 0.500]], "e_form_raw_ev_per_atom": -0.58, "space_group": "No. 115"}

=====

2.
{"formula": "Ac2CuNi3Sb4", "functional": "PBE", "state": "relaxed", "cell": [[4.618, 0.000, 0.000], [0.000, 4.618, 0.000], [0.000, 0.000, 10.207]], "species": ["Ac", "Ac", "Cu", "Ni", "Ni", "Ni", "Sb", "Sb", "Sb", "Sb"], "frac_coords": [[0.000, 0.500, 0.241], [0.500, 0.000, 0.759], [0.500, 0.500, 0.000], [0.000, 0.000, 0.000], [0.000, 0.500, 0.618], [0.500, 0.000, 0.382], [0.000, 0.000, 0.500], [0.000, 0.500, 0.871], [0.500, 0.000, 0.129], [0.500, 0.500, 0.500]], "e_form_raw_ev_per_atom": -0.64, "space_group": "No. 115"}

=====

3.
{"formula": "AcCuNiSb", "functional": "PBE", "state": "relaxed", "cell": [[0.000, 3.489, 3.489], [3.489, 0.000, 3.489], [3.489, 3.489, 0.000]], "species": ["Ac", "Cu", "Ni", "Sb"], "frac_coords": [[0.000, 0.000, 0.000], [0.750, 0.750, 0.750], [0.250, 0.250, 0.250], [0.500, 0.500, 0.500]], "e_form_raw_ev_per_atom": -0.24, "space_group": "No. 216"}

=====

4.
{"formula": "Ac2Cu3NiSb4", "functional": "PBE", "state": "relaxed", "cell": [[4.677, 0.000, 0.000], [0.000, 4.677, 0.000], [0.000, 0.000, 10.402]], "species": ["Ac", "Ac", "Cu", "Cu", "Cu", "Ni", "Sb", "Sb", "Sb", "Sb"], "frac_coords": [[0.000, 0.500, 0.234], [0.500, 0.000, 0.766], [0.000, 0.000, 0.000], [0.000, 0.500, 0.630], [0.500, 0.000, 0.370], [0.500, 0.500, 0.000], [0.000, 0.000, 0.500], [0.000, 0.500, 0.878], [0.500, 0.000, 0.122], [0.500, 0.500, 0.500]], "e_form_raw_ev_per_atom": -0.54, "space_group": "No. 115"}

=====

5.
{"formula": "AcScCuNi", "functional": "PBE", "state": "relaxed", "cell": [[0.000, 3.511, 3.511], [3.511, 0.000, 3.511], [3.511, 3.511, 0.000]], "species": ["Ac", "Sc", "Cu", "Ni"], "frac_coords": [[0.000, 0.000, 0.000], [0.500, 0.500, 0.500], [0.250, 0.250, 0.250], [0.750, 0.750, 0.750]], "formation_energy_ev_per_atom": -0.0937, "space_group": "No. 216"}

=====

6.
{"formula": "Ac2Cu6SiNi", "functional": "PBE", "state": "relaxed", "cell": [[-3.241, 3.256, 4.600], [3.241, -3.256, 4.600], [3.241, 3.256, -4.600]], "species": ["Ac", "Ac", "Cu", "Cu", "Cu", "Cu", "Cu", "Cu", "Si", "Ni"], "frac_coords": [[0.250, 0.250, 0.000], [0.750, 0.750, 0.000], [0.250, 0.250, 0.499], [0.250, 0.750, 0.000], [0.250, 0.750, 0.500], [0.750, 0.250, 0.000], [0.750, 0.250, 0.500], [0.750, 0.750, 0.501], [0.500, 0.000, 0.500], [0.000, 0.500, 0.500]], "e_form_raw_ev_per_atom": -0.04, "space_group": "No. 71"}

=====

7.
{"formula": "AcCu2SiNi2", "functional": "PBE", "state": "relaxed", "cell": [[4.289, 0.000, 0.000], [0.000, 4.289, 0.000], [0.000, 0.000, 5.942]], "species": ["Ac", "Cu", "Cu", "Si", "Ni", "Ni"], "frac_coords": [[0.000, 0.000, 0.000], [0.500, 0.500, 0.261], [0.500, 0.500, 0.739], [0.000, 0.000, 0.500], [0.000, 0.500, 0.500], [0.500, 0.000, 0.500]], "e_form_raw_ev_per_atom": -0.07, "space_group": "No. 123"}

=====

8.
{"formula": "Ac2CuSi4Ni3", "functional": "PBE", "state": "relaxed", "cell": [[4.199, 0.000, 0.000], [0.000, 4.199, 0.000], [0.000, 0.000, 9.939]], "species": ["Ac", "Ac", "Cu", "Si", "Si", "Si", "Si", "Ni", "Ni", "Ni"], "frac_coords": [[0.000, 0.500, 0.249], [0.500, 0.000, 0.751], [0.000, 0.000, 0.500], [0.000, 0.000, 0.000], [0.000, 0.500, 0.625], [0.500, 0.000, 0.375], [0.500, 0.500, 0.000], [0.000, 0.500, 0.884], [0.500, 0.000, 0.116], [0.500, 0.500, 0.500]], "e_form_raw_ev_per_atom": -0.62, "space_group": "No. 115"}